Entry 1:
# Dy3In3Pt2Au

An optimized crystal structure of Dy3In3Pt2Au (PBE, OQMD).

Unit cell a=7.6990 b=7.6990 c=3.9093 alpha=90.00 beta=90.00 gamma=120.00
Space group P-62m (No. 189)
Inequivalent atoms, fractional coordinates:
Dy 0.0000 0.4084 0.0000
In 0.0000 0.7338 0.5000
Pt 0.3333 0.6667 0.5000
Au 0.0000 0.0000 0.0000

Properties
calculated total energy	-45.63	eV for the cell shown
calculated density	11.74	g cm⁻³
crystal system	hexagonal

Entry 2:
# DySc2In3PtAu2

An optimized crystal structure of DySc2In3PtAu2 (PBE, OQMD).

Unit cell a=3.709 b=13.358 c=7.681 alpha=90.00 beta=90.00 gamma=90.00
Space group Amm2 (No. 38)
Inequivalent atoms, fractional coordinates:
Dy 0.000 0.000 0.000
Sc 0.000 0.197 0.406
In 0.500 0.000 0.339
In 0.500 0.134 0.733
Pt 0.000 0.000 0.600
Au 0.500 0.170 0.104

Properties
calculated total energy	-89.91	eV for the cell shown
calculated density	10.35	g cm⁻³
crystal system	orthorhombic

Entry 3:
# TbDy2In3Pt2Au

An optimized crystal structure of TbDy2In3Pt2Au (PBE, OQMD).

Unit cell a=3.811 b=13.498 c=7.786 alpha=90.00 beta=90.00 gamma=90.00
Space group Amm2 (No. 38)
Inequivalent atoms, fractional coordinates:
Tb 0.000 0.000 0.000
Dy 0.000 0.204 0.388
In 0.500 0.000 0.323
In 0.500 0.135 0.726
Pt 0.500 0.167 0.092
Au 0.000 0.000 0.592

Properties
calculated total energy	-91.32	eV for the cell shown
calculated density	11.74	g cm⁻³
crystal system	orthorhombic

Entry 4:
# Tb2DyIn3PtAu2

An optimized crystal structure of Tb2DyIn3PtAu2 (PBE, OQMD).

Unit cell a=3.956 b=13.395 c=7.736 alpha=90.00 beta=90.00 gamma=90.00
Space group Amm2 (No. 38)
Inequivalent atoms, fractional coordinates:
Tb 0.000 0.201 0.000
Dy 0.000 0.000 0.602
In 0.500 0.000 0.944
In 0.500 0.128 0.329
Pt 0.000 0.000 0.201
Au 0.500 0.167 0.700

Properties
calculated total energy	-84.41	eV for the cell shown
calculated density	11.45	g cm⁻³
crystal system	orthorhombic